1.
DFT (PBE) results for crystalline KTiOs3 at its relaxed geometry.

Results
Crystal system = cubic
Energy above the lowest structure with this stoichiometry = 1515 meV per atom

abc: 4.508 4.508 4.508
angles: 90.00 90.00 90.00
Fractional coordinates of all 5 atoms:
K  0.000  0.000  0.000
Os  0.000  0.500  0.000
Os  0.000  0.000  0.500
Os  0.500  0.000  0.000
Ti  0.500  0.500  0.500

2.
DFT (PBE) results for crystalline KNaMgMn2 at its relaxed geometry.

Results
E = -3.30 eV/atom
Crystal system = tetragonal

abc: 5.485 5.580 5.485
angles: 90.00 90.00 90.00
Fractional coordinates of all 5 atoms:
Na  0.000  0.000  0.000
K  0.500  0.500  0.500
Mn  0.000  0.000  0.500
Mn  0.500  0.000  0.000
Mg  0.000  0.500  0.000

3.
DFT (PBE) results for crystalline Rb2AuO at its relaxed geometry.

Results
E = -2.92 eV/atom
Crystal system = tetragonal

abc: 8.360 8.360 7.260
angles: 54.85 54.85 90.00
Fractional coordinates of all 8 atoms:
Au  0.000  0.000  0.000
Au  0.750  0.250  0.500
O  0.500  0.500  0.000
O  0.250  0.750  0.500
Rb  0.557  0.125  0.250
Rb  0.193  0.625  0.250
Rb  0.375  0.443  0.750
Rb  0.875  0.807  0.750

4.
DFT (PBE) results for crystalline BaSmCdAu at its relaxed geometry.

Results
E = -3.08 eV/atom
Crystal system = cubic

abc: 5.555 5.555 5.555
angles: 60.00 60.00 60.00
Fractional coordinates of all 4 atoms:
Au  0.250  0.250  0.250
Ba  0.000  0.000  0.000
Sm  0.500  0.500  0.500
Cd  0.750  0.750  0.750

5.
DFT (PBE) results for crystalline PmSmC at its relaxed geometry.

Results
Crystal system = orthorhombic
Energy above the lowest structure with this stoichiometry = 279 meV per atom

abc: 3.643 3.643 12.743
angles: 90.00 90.00 120.00
Fractional coordinates of all 6 atoms:
C  0.610  0.220  0.000
C  0.279  0.557  0.500
Pm  0.612  0.224  0.385
Pm  0.612  0.224  0.615
Sm  0.277  0.554  0.886
Sm  0.277  0.554  0.114

6.
DFT (PBE) results for crystalline RbAlIrSe2 at its relaxed geometry.

Results
E = -2.07 eV/atom
Crystal system = tetragonal

abc: 5.887 5.940 5.887
angles: 90.00 90.00 90.00
Fractional coordinates of all 5 atoms:
Ir  0.500  0.500  0.500
Se  0.000  0.000  0.500
Se  0.500  0.000  0.000
Rb  0.000  0.000  0.000
Al  0.000  0.500  0.000

7.
DFT (PBE) results for crystalline Si3Pt12RhPb2 at its relaxed geometry.

Results
E = -5.91 eV/atom
Crystal system = trigonal

abc: 7.672 7.672 7.672
angles: 63.76 63.76 63.76
Fractional coordinates of all 18 atoms:
Si  0.500  0.000  0.000
Si  0.000  0.500  0.000
Si  0.000  0.000  0.500
Pt  0.363  0.363  0.889
Pt  0.864  0.864  0.386
Pt  0.386  0.864  0.864
Pt  0.889  0.363  0.363
Pt  0.864  0.386  0.864
Pt  0.363  0.889  0.363
Pt  0.637  0.637  0.111
Pt  0.136  0.136  0.614
Pt  0.614  0.136  0.136
Pt  0.111  0.637  0.637
Pt  0.136  0.614  0.136
Pt  0.637  0.111  0.637
Rh  0.000  0.000  0.000
Pb  0.612  0.612  0.612
Pb  0.388  0.388  0.388

8.
DFT (PBE) results for crystalline TeICl3 at its relaxed geometry.

Results
Crystal system = monoclinic
Energy above the lowest structure with this stoichiometry = 87 meV per atom

abc: 7.226 5.956 9.031
angles: 90.00 90.00 91.78
Fractional coordinates of all 10 atoms:
Te  0.798  0.935  0.552
Te  0.763  0.031  0.052
I  0.063  0.369  0.052
I  0.498  0.597  0.552
Cl  0.062  0.205  0.552
Cl  0.498  0.760  0.052
Cl  0.625  0.221  0.852
Cl  0.625  0.221  0.253
Cl  0.936  0.745  0.352
Cl  0.936  0.745  0.753